# LiYTiOs (GGA-PBE, optimized geometry)
data_LiYTiOs
_cell_length_a 6.5820
_cell_length_b 6.5820
_cell_length_c 6.5820
_cell_angle_alpha 90.00
_cell_angle_beta 90.00
_cell_angle_gamma 90.00
_symmetry_space_group_name_H-M 'F -4 3 m'
_symmetry_Int_Tables_number 216
_symmetry_space_group_name_Hall 'F -4 2 3'
loop_
_atom_site_label
_atom_site_type_symbol
_atom_site_fract_x
_atom_site_fract_y
_atom_site_fract_z
Li1 Li 0.0000 0.0000 0.0000
Y1 Y 0.2500 0.2500 0.2500
Ti1 Ti 0.2500 0.2500 0.7500
Os1 Os 0.0000 0.0000 0.5000
# D(E_F)   0.930 states/eV per atom
# VASP energy   -112.13 eV per cell
# Total moment   0.000 μB per formula unit